Cs2CdTeO | PBE-GGA | optimized geometry

Summary:
- space-group type = P4/mmm (123)
- raw total energy (eV per atom) = -2.7900
- E above lowest polymorph (eV per atom) = 0.121
- raw formation energy (eV/atom) = -0.65

Lattice parameters (Å, degrees): 6.272 4.498 6.272 90.00 90.00 90.00
Atoms (fractional coordinates):
1 O 0.000 0.000 0.000
2 Cs 0.500 0.000 0.000
3 Cs 0.000 0.000 0.500
4 Te 0.000 0.500 0.000
5 Cd 0.500 0.500 0.500